Record 1
First-principles (PBE) data for a geometry-optimized AlAgP2 structure, as listed in Alexandria.

density of states at the Fermi level: 2.95 states/eV per cell
ΔE_f: 0.202 eV/atom

abc: 7.2874 7.1216 2.7211
angles: 90.00 98.68 90.00
Space group C2/m (No. 12)
Unique sites:
Al (0.0000, 0.0000, 0.0000) (multiplicity 2)
Ag (0.0000, 0.5000, 0.0000) (multiplicity 2)
P (0.2500, 0.2500, 0.0000) (multiplicity 4)

***

Record 2
First-principles (PBE) data for a geometry-optimized PrAlF5 structure, as listed in Alexandria.

ΔE_f (raw): -24.1 eV per formula unit
density of states at the Fermi level: 3.95 states/eV per cell

abc: 8.8124 7.2176 7.0514
angles: 90.00 111.83 90.00
Space group C2/c (No. 15)
Unique sites:
Pr (0.0000, 0.0117, 0.2500) (multiplicity 4)
Al (0.0000, 0.5000, 0.0000) (multiplicity 4)
F (0.0000, 0.4142, 0.2500) (multiplicity 4)
F (0.0529, 0.2652, 0.9597) (multiplicity 8)
F (0.2141, 0.4405, 0.6187) (multiplicity 8)

***

Record 3
First-principles (PBE) data for a geometry-optimized HoGaCo2 structure, as listed in Alexandria.

density of states at the Fermi level: 0.94 states/eV per cell
ΔE_f: -0.198 eV/atom

abc: 4.2163 4.2163 3.3369
angles: 90.00 90.00 90.00
Space group P4/mmm (No. 123)
Unique sites:
Ho (0.0000, 0.0000, 0.0000) (multiplicity 1)
Ga (0.5000, 0.5000, 0.0000) (multiplicity 1)
Co (0.0000, 0.5000, 0.5000) (multiplicity 2)

***

Record 4
First-principles (PBE) data for a geometry-optimized SiAsSeBr2 structure, as listed in Alexandria.

ΔE_f (raw): 2.1 eV per formula unit
energy relative to the lowest polymorph listed for this composition: 0 meV per atom
density of states at the Fermi level: 2.49 states/eV per cell

abc: 4.9547 4.9547 5.2827
angles: 90.00 90.00 90.00
Space group P4/mmm (No. 123)
Unique sites:
Si (0.0000, 0.0000, 0.0000) (multiplicity 1)
As (0.5000, 0.5000, 0.5000) (multiplicity 1)
Se (0.0000, 0.0000, 0.5000) (multiplicity 1)
Br (0.0000, 0.5000, 0.0000) (multiplicity 2)

***

Record 5
First-principles (PBE) data for a geometry-optimized Co2TcSe structure, as listed in Alexandria.

ΔE_f (raw): 0.9 eV per formula unit
density of states at the Fermi level: 4.81 states/eV per cell

abc: 2.9891 2.9891 5.9824
angles: 90.00 90.00 90.00
Space group P4mm (No. 99)
Unique sites:
Co (0.0000, 0.0000, 0.0000) (multiplicity 1)
Co (0.5000, 0.5000, 0.2205) (multiplicity 1)
Tc (0.5000, 0.5000, 0.7364) (multiplicity 1)
Se (0.0000, 0.0000, 0.4860) (multiplicity 1)

***

Record 6
First-principles (PBE) data for a geometry-optimized ErRh3O6 structure, as listed in Alexandria.

ΔE_f (raw): -14.0 eV per formula unit
density of states at the Fermi level: 14.18 states/eV per cell

abc: 7.1780 10.1068 3.2907
angles: 90.00 90.00 90.00
Space group Cmmm (No. 65)
Unique sites:
Er (0.0000, 0.0000, 0.0000) (multiplicity 2)
Rh (0.0000, 0.5000, 0.0000) (multiplicity 2)
Rh (0.2500, 0.2500, 0.5000) (multiplicity 4)
O (0.0000, 0.1519, 0.5000) (multiplicity 4)
O (0.2045, 0.3695, 0.0000) (multiplicity 8)

***

Q: Among the records above, which one has the lowest density of states at the Fermi level?
A: HoGaCo2